DFT (PBE-GGA) results for NiAsPC after structural relaxation.

The structure in extended XYZ format:
```
4
Lattice="3.7894 -1.5428 0.0000 3.7894 1.5428 0.0000 -3.3481 0.0000 5.0492" Properties=species:S:1:pos:R:3 pbc="T T T"
Ni 0.0000 0.0000 0.0000
As -0.1319 0.0000 2.3268
P 2.0065 0.0000 4.7555
C 3.0089 0.0000 3.3041
```

Summary:
The energy comes out at -5.9420 eV/atom. For the relative energy among the computed polymorphs, the calculation gives 95 meV per atom.